! KMgTc | the Alexandria database | PBE | relaxed; values from VASP
&SYSTEM
  ibrav = 0, nat = 3, ntyp = 3
/
ATOMIC_SPECIES
K 39.10 K.upf
Mg 24.30 Mg.upf
Tc 98.00 Tc.upf
ATOMIC_POSITIONS crystal
K 0.000 0.000 0.000
Mg 0.667 0.333 0.186
Tc 0.333 0.667 0.608
CELL_PARAMETERS angstrom
5.326 0.000 0.000
-2.663 4.613 0.000
0.000 0.000 2.684
! Calculated formation energy (eV per atom): 1.069
! E (eV per atom): -3.284
! Relative energy among the computed polymorphs (kcal/mol of atoms): 5.77
! Total magnetic moment (μB per formula unit): 0.9
! SG: P3m1 (156)
! Mass density (Mg/m³): 4.06